Compound: NbHOsRh2
Source: Alexandria via LeMat-Bulk
Functional: GGA-PBE
Structure: relaxed

Cell: 3.878 3.878 4.131 Å, 90.00 90.00 90.00°
Atoms (fractional coordinates):
Nb: 0.000 0.000 0.000
H: 0.000 0.000 0.500
Os: 0.500 0.500 0.000
Rh: 0.000 0.500 0.500
Rh: 0.500 0.000 0.500

Output
The density is 13.10 g cm⁻³. Its space group is P4/mmm (123). The total energy is -40.5 eV per cell.


Compound: CdGa6I12
Source: Alexandria via LeMat-Bulk
Functional: GGA-PBE
Structure: relaxed

Cell: 10.438 10.438 10.438 Å, 109.07 109.07 109.07°
Atoms (fractional coordinates):
Cd: 0.000 0.000 0.000
Ga: 0.047 0.773 0.848
Ga: 0.152 0.953 0.227
Ga: 0.227 0.152 0.953
Ga: 0.773 0.848 0.047
Ga: 0.848 0.047 0.773
Ga: 0.953 0.227 0.152
I: 0.085 0.234 0.747
I: 0.161 0.495 0.376
I: 0.234 0.747 0.085
I: 0.253 0.915 0.766
I: 0.376 0.161 0.495
I: 0.495 0.376 0.161
I: 0.505 0.624 0.839
I: 0.624 0.839 0.505
I: 0.747 0.085 0.234
I: 0.766 0.253 0.915
I: 0.839 0.505 0.624
I: 0.915 0.766 0.253

Output
For the raw formation energy, the calculation gives -0.33 eV per atom. The density is 3.84 g cm⁻³. Its space group is R-3 (148). The total energy is -43.9 eV per cell.


Compound: TePd6Se
Source: Alexandria via LeMat-Bulk
Functional: GGA-PBE
Structure: relaxed

Cell: 4.085 5.812 5.812 Å, 77.80 90.00 90.00°
Atoms (fractional coordinates):
Te: 0.000 0.000 0.000
Pd: 0.000 0.414 0.414
Pd: 0.000 0.488 0.898
Pd: 0.000 0.898 0.488
Pd: 0.500 0.145 0.702
Pd: 0.500 0.198 0.198
Pd: 0.500 0.702 0.145
Se: 0.500 0.602 0.602

Output
For the raw formation energy, the calculation gives -0.19 eV per atom. The density is 10.41 g cm⁻³. Its space group is Amm2 (38). The total energy is -39.3 eV per cell.


Compound: Er2HfPd8
Source: Alexandria via LeMat-Bulk
Functional: GGA-PBE
Structure: relaxed

Cell: 7.595 7.595 6.686 Å, 107.99 107.99 31.78°
Atoms (fractional coordinates):
Er: 0.217 0.217 0.166
Er: 0.783 0.783 0.834
Hf: 0.500 0.500 0.500
Pd: 0.036 0.036 0.225
Pd: 0.139 0.139 0.673
Pd: 0.327 0.327 0.593
Pd: 0.408 0.408 0.062
Pd: 0.592 0.592 0.938
Pd: 0.673 0.673 0.407
Pd: 0.861 0.861 0.327
Pd: 0.964 0.964 0.775

Output
The density is 11.78 g cm⁻³. Its space group is C2/m (12). The total energy is -69.1 eV per cell.


Compound: LiNd6In5
Source: Alexandria via LeMat-Bulk
Functional: GGA-PBE
Structure: relaxed

Cell: 8.692 8.692 7.684 Å, 90.00 90.00 143.18°
Atoms (fractional coordinates):
Li: 0.000 0.000 0.000
Nd: 0.168 0.832 0.247
Nd: 0.168 0.832 0.753
Nd: 0.500 0.500 0.252
Nd: 0.500 0.500 0.748
Nd: 0.832 0.168 0.247
Nd: 0.832 0.168 0.753
In: 0.000 0.000 0.500
In: 0.333 0.667 0.500
In: 0.341 0.659 0.000
In: 0.659 0.341 0.000
In: 0.667 0.333 0.500

Output
The density is 6.90 g cm⁻³. Its space group is Cmmm (65). The total energy is -49.3 eV per cell.


Compound: Tb3ZrTe6
Source: Alexandria via LeMat-Bulk
Functional: GGA-PBE
Structure: relaxed

Cell: 8.911 8.911 8.911 Å, 90.05 90.05 90.05°
Atoms (fractional coordinates):
Tb: 0.085 0.238 0.579
Tb: 0.238 0.579 0.085
Tb: 0.421 0.915 0.762
Tb: 0.579 0.085 0.238
Tb: 0.762 0.421 0.915
Tb: 0.915 0.762 0.421
Zr: 0.000 0.000 0.000
Zr: 0.500 0.500 0.500
Te: 0.080 0.904 0.692
Te: 0.096 0.308 0.920
Te: 0.186 0.543 0.420
Te: 0.308 0.920 0.096
Te: 0.420 0.186 0.543
Te: 0.457 0.580 0.814
Te: 0.543 0.420 0.186
Te: 0.580 0.814 0.457
Te: 0.692 0.080 0.904
Te: 0.814 0.457 0.580
Te: 0.904 0.692 0.080
Te: 0.920 0.096 0.308

Output
For the raw formation energy, the calculation gives -1.16 eV per atom. The density is 6.26 g cm⁻³. Its space group is R-3 (148). The total energy is -105.7 eV per cell.